# 1
CaAgW2 | SCAN | single point on PBEsol structure

Cell: 3.4943 3.4943 6.7074 Å, 90.00 90.00 90.00°
Fractional coordinates of all 4 atoms:
Ag1 0.5000 0.5000 0.0000
W1 0.0000 0.0000 0.8266
W2 0.0000 0.0000 0.1734
Ca1 0.5000 0.5000 0.5000

Properties
M_tot: 0.000 μB/f.u.
DOS at the Fermi energy: 1.220 states/eV/atom
energy relative to the lowest polymorph listed for this composition: 715.2 meV per atom
total energy: -175.4 eV/cell
ΔH_f (0 K): 1244 meV per atom

=====

# 2
RbNa2Hg2 | SCAN | single point on PBEsol structure

Cell: 4.9085 4.9085 7.7178 Å, 108.54 108.54 90.00°
Fractional coordinates of all 5 atoms:
Hg1 0.3950 0.3950 0.7900
Hg2 0.6050 0.6050 0.2100
Rb1 0.0000 0.0000 0.0000
Na1 0.2500 0.7500 0.5000
Na2 0.7500 0.2500 0.5000

Properties
M_tot: 0.000 μB/f.u.
DOS at the Fermi energy: 0.460 states/eV/atom
energy relative to the lowest polymorph listed for this composition: 0.0 meV per atom
total energy: -166.8 eV/cell
ΔH_f (0 K): -259 meV per atom

=====

# 3
Mg2NiW | SCAN | single point on PBEsol structure

Cell: 2.7693 4.7450 4.7450 Å, 90.00 90.00 90.00°
Fractional coordinates of all 4 atoms:
Mg1 0.0000 0.5000 0.0000
Mg2 0.0000 0.0000 0.5000
W1 0.5000 0.0000 0.0000
Ni1 0.5000 0.5000 0.5000

Properties
M_tot: 0.000 μB/f.u.
DOS at the Fermi energy: 0.535 states/eV/atom
energy relative to the lowest polymorph listed for this composition: 240.9 meV per atom
total energy: -93.5 eV/cell
ΔH_f (0 K): 586 meV per atom

=====

# 4
Co2SiPb | SCAN | single point on PBEsol structure

Cell: 3.7301 3.7260 5.3312 Å, 110.02 90.00 120.04°
Fractional coordinates of all 4 atoms:
Co1 0.7861 0.5723 0.8555
Co2 0.2139 0.4277 0.1445
Pb1 0.0000 0.0000 0.5000
Si1 0.5000 0.0000 0.0000

Properties
M_tot: 0.004 μB/f.u.
DOS at the Fermi energy: 0.835 states/eV/atom
energy relative to the lowest polymorph listed for this composition: 56.7 meV per atom
total energy: -119.4 eV/cell
uncorrected formation energy: 258 meV per atom

=====

> Which value of M_tot does entry 1 give?

0.000 μB/f.u.